[1]
# Ho4Bi2Os GGA-PBE optimized geometry
# Space group: No. 55
# Magnetic moment, μB per formula unit: 0.00
# Total energy, eV/atom: -5.85
data_Ho4Bi2Os
_cell_length_a 4.370
_cell_length_b 7.941
_cell_length_c 12.173
_cell_angle_alpha 90.00
_cell_angle_beta 90.00
_cell_angle_gamma 90.00
_space_group_name_H-M_alt 'P 1'
_space_group_IT_number 1
loop_
_space_group_symop_operation_xyz
'x,y,z'
loop_
_atom_site_label
_atom_site_type_symbol
_atom_site_fract_x
_atom_site_fract_y
_atom_site_fract_z
Ho1 Ho 0.500 0.707 0.057
Ho2 Ho 0.500 0.793 0.557
Ho3 Ho 0.500 0.293 0.943
Ho4 Ho 0.500 0.207 0.443
Ho5 Ho 0.000 0.869 0.303
Ho6 Ho 0.000 0.369 0.197
Ho7 Ho 0.000 0.131 0.697
Ho8 Ho 0.000 0.631 0.803
Bi1 Bi 0.500 0.421 0.672
Bi2 Bi 0.500 0.579 0.328
Bi3 Bi 0.500 0.921 0.828
Bi4 Bi 0.500 0.079 0.172
Os1 Os 0.000 0.500 0.000
Os2 Os 0.000 0.000 0.500

=====

[2]
# Ho2BiOs GGA-PBE optimized geometry
# Space group: No. 123
# Magnetic moment, μB per formula unit: 0.00
# Total energy, eV/atom: -6.54
data_Ho2BiOs
_cell_length_a 3.413
_cell_length_b 3.413
_cell_length_c 8.445
_cell_angle_alpha 90.00
_cell_angle_beta 90.00
_cell_angle_gamma 90.00
_space_group_name_H-M_alt 'P 1'
_space_group_IT_number 1
loop_
_space_group_symop_operation_xyz
'x,y,z'
loop_
_atom_site_label
_atom_site_type_symbol
_atom_site_fract_x
_atom_site_fract_y
_atom_site_fract_z
Bi1 Bi 0.500 0.500 0.500
Os1 Os 0.500 0.500 0.000
Ho1 Ho 0.000 0.000 0.804
Ho2 Ho 0.000 0.000 0.196

=====

[3]
# HoBiOs GGA-PBE optimized geometry
# Space group: No. 166
# Magnetic moment, μB per formula unit: 0.00
# Total energy, eV/atom: -6.72
data_HoBiOs
_cell_length_a 4.261
_cell_length_b 4.261
_cell_length_c 10.642
_cell_angle_alpha 78.45
_cell_angle_beta 78.45
_cell_angle_gamma 60.00
_space_group_name_H-M_alt 'P 1'
_space_group_IT_number 1
loop_
_space_group_symop_operation_xyz
'x,y,z'
loop_
_atom_site_label
_atom_site_type_symbol
_atom_site_fract_x
_atom_site_fract_y
_atom_site_fract_z
Bi1 Bi 0.699 0.699 0.904
Bi2 Bi 0.301 0.301 0.096
Os1 Os 0.833 0.833 0.500
Os2 Os 0.167 0.167 0.500
Ho1 Ho 0.560 0.560 0.320
Ho2 Ho 0.440 0.440 0.680

=====

[4]
# Ho6Bi3Os GGA-PBE optimized geometry
# Space group: No. 14
# Magnetic moment, μB per formula unit: 0.00
# Total energy, eV/atom: -5.52
data_Ho6Bi3Os
_cell_length_a 6.400
_cell_length_b 8.475
_cell_length_c 11.021
_cell_angle_alpha 90.00
_cell_angle_beta 91.36
_cell_angle_gamma 90.00
_space_group_name_H-M_alt 'P 1'
_space_group_IT_number 1
loop_
_space_group_symop_operation_xyz
'x,y,z'
loop_
_atom_site_label
_atom_site_type_symbol
_atom_site_fract_x
_atom_site_fract_y
_atom_site_fract_z
Ho1 Ho 0.635 0.155 0.935
Ho2 Ho 0.384 0.799 0.440
Ho3 Ho 0.884 0.701 0.940
Ho4 Ho 0.865 0.655 0.565
Ho5 Ho 0.365 0.536 0.728
Ho6 Ho 0.616 0.201 0.560
Ho7 Ho 0.865 0.964 0.228
Ho8 Ho 0.135 0.036 0.772
Ho9 Ho 0.365 0.845 0.065
Ho10 Ho 0.116 0.299 0.060
Ho11 Ho 0.135 0.345 0.435
Ho12 Ho 0.635 0.464 0.272
Bi1 Bi 0.415 0.119 0.263
Bi2 Bi 0.000 0.000 0.500
Bi3 Bi 0.085 0.619 0.237
Bi4 Bi 0.500 0.500 0.000
Bi5 Bi 0.915 0.381 0.763
Bi6 Bi 0.585 0.881 0.737
Os1 Os 0.000 0.000 0.000
Os2 Os 0.500 0.500 0.500